# TiAsNF2

Crystalline TiAsNF2 at its relaxed geometry (PBE, Alexandria via LeMat-Bulk). Values from VASP.

Structure (Quantum ESPRESSO input):
```
&SYSTEM
  ibrav = 0, nat = 5, ntyp = 4
/
ATOMIC_SPECIES
F 19.00 F.upf
Ti 47.87 Ti.upf
N 14.01 N.upf
As 74.92 As.upf
CELL_PARAMETERS angstrom
-1.830 -3.457 1.560
2.871 -2.394 -1.939
2.378 0.211 3.258
ATOMIC_POSITIONS crystal
F 0.000 0.500 0.000
F 0.500 0.000 0.000
Ti 0.500 0.500 0.500
N 0.000 0.000 0.500
As 0.000 0.000 0.000
```

Results
E above lowest polymorph	0.8165	eV per atom
formation energy (no corrections)	-0.312	eV per atom
space-group type	No. 123
density of states at the Fermi level	3.2	states/eV per cell



# Cs2ZrGaS4

Crystalline Cs2ZrGaS4 at its relaxed geometry (PBE, Alexandria via LeMat-Bulk). Values from VASP.

Structure (Quantum ESPRESSO input):
```
&SYSTEM
  ibrav = 0, nat = 16, ntyp = 4
/
ATOMIC_SPECIES
S 32.06 S.upf
Cs 132.91 Cs.upf
Ga 69.72 Ga.upf
Zr 91.22 Zr.upf
CELL_PARAMETERS angstrom
-1.763 -4.468 4.358
4.751 -0.441 6.296
-7.985 6.386 8.142
ATOMIC_POSITIONS crystal
S 0.455 0.679 0.402
S 0.885 0.821 0.902
S 0.213 0.179 0.902
S 0.295 0.821 0.098
S 0.143 0.321 0.402
S 0.865 0.679 0.598
S 0.537 0.321 0.598
S 0.607 0.179 0.098
Cs 0.822 0.000 0.356
Cs 0.928 0.500 0.144
Cs 0.178 0.000 0.644
Cs 0.572 0.500 0.856
Ga 0.500 0.000 0.000
Ga 0.250 0.500 0.500
Zr 0.750 0.500 0.500
Zr 0.000 0.000 0.000
```

Results
formation energy (no corrections)	-1.161	eV per atom
space-group type	No. 70
density of states at the Fermi level	3.9	states/eV per cell